# ZnInSn3 | the Alexandria database | PBEsol | optimized geometry
data_ZnInSn3
_chemical_formula_sum 'Zn1 In1 Sn3'
_cell_length_a 5.525
_cell_length_b 5.525
_cell_length_c 5.525
_cell_angle_alpha 90.00
_cell_angle_beta 90.00
_cell_angle_gamma 90.00
_symmetry_space_group_name_H-M 'P m -3 m'
_symmetry_Int_Tables_number 221
_symmetry_space_group_name_Hall '-P 4 2 3'
loop_
_atom_site_label
_atom_site_type_symbol
_atom_site_fract_x
_atom_site_fract_y
_atom_site_fract_z
Zn1 Zn 0.000 0.000 0.000
In1 In 0.500 0.500 0.500
Sn1 Sn 0.000 0.500 0.500
# VASP energy, eV/atom: -2.673
# Energy of formation from the pure elements, eV/f.u.: 4.0


# Mn5CrO12 | the Alexandria database | PBEsol | optimized geometry
data_Mn5CrO12
_chemical_formula_sum 'Mn10 Cr2 O24'
_cell_length_a 4.935
_cell_length_b 8.557
_cell_length_c 9.592
_cell_angle_alpha 90.00
_cell_angle_beta 90.34
_cell_angle_gamma 90.00
_symmetry_space_group_name_H-M 'C 1 2/m 1'
_symmetry_Int_Tables_number 12
loop_
_symmetry_equiv_pos_as_xyz
'x,y,z'
'-x,-y,-z'
'-x,y,-z'
'x,-y,z'
'x+1/2,y+1/2,z'
'-x+1/2,-y+1/2,-z'
'-x+1/2,y+1/2,-z'
'x+1/2,-y+1/2,z'
loop_
_atom_site_label
_atom_site_type_symbol
_atom_site_fract_x
_atom_site_fract_y
_atom_site_fract_z
Mn1 Mn 0.000 0.000 0.000
Mn2 Mn 0.000 0.167 0.500
Mn3 Mn 0.000 0.333 0.000
Cr1 Cr 0.000 0.500 0.500
O1 O 0.163 0.000 0.401
O2 O 0.167 0.332 0.401
O3 O 0.168 0.167 0.099
O4 O 0.168 0.500 0.099
# Uncorrected formation energy, eV/atom: -1.60
# VASP energy, eV/atom: -8.380


# GeRhN2 | the Alexandria database | PBEsol | optimized geometry
data_GeRhN2
_chemical_formula_sum 'Ge3 Rh3 N6'
_cell_length_a 2.8767
_cell_length_b 2.8767
_cell_length_c 18.0595
_cell_angle_alpha 90.00
_cell_angle_beta 90.00
_cell_angle_gamma 120.00
_symmetry_space_group_name_H-M 'R -3 m'
_symmetry_Int_Tables_number 166
_symmetry_space_group_name_Hall '-R 3 2"'
loop_
_atom_site_label
_atom_site_type_symbol
_atom_site_fract_x
_atom_site_fract_y
_atom_site_fract_z
Ge1 Ge 0.0000 0.0000 0.0000
Rh1 Rh 0.0000 0.0000 0.5000
N1 N 0.0000 0.0000 0.3938
# Uncorrected formation energy, eV/atom: 0.25
# VASP energy, eV/atom: -7.281


# TeP2Os | the Alexandria database | PBEsol | optimized geometry
data_TeP2Os
_chemical_formula_sum 'Te1 P2 Os1'
_cell_length_a 4.545
_cell_length_b 4.545
_cell_length_c 3.052
_cell_angle_alpha 90.00
_cell_angle_beta 90.00
_cell_angle_gamma 90.00
_symmetry_space_group_name_H-M 'P 4/m m m'
_symmetry_Int_Tables_number 123
_symmetry_space_group_name_Hall '-P 4 2'
loop_
_atom_site_label
_atom_site_type_symbol
_atom_site_fract_x
_atom_site_fract_y
_atom_site_fract_z
Te1 Te 0.000 0.000 0.000
P1 P 0.000 0.500 0.500
Os1 Os 0.500 0.500 0.000
# Uncorrected formation energy, eV/atom: 0.80
# VASP energy, eV/atom: -6.027


# Ti2BeBi | the Alexandria database | PBEsol | optimized geometry
data_Ti2BeBi
_chemical_formula_sum 'Ti8 Be4 Bi4'
_cell_length_a 7.127
_cell_length_b 7.127
_cell_length_c 5.502
_cell_angle_alpha 90.00
_cell_angle_beta 90.00
_cell_angle_gamma 90.00
_symmetry_space_group_name_H-M 'I -4 2 d'
_symmetry_Int_Tables_number 122
_symmetry_space_group_name_Hall 'I -4 2bw'
loop_
_atom_site_label
_atom_site_type_symbol
_atom_site_fract_x
_atom_site_fract_y
_atom_site_fract_z
Ti1 Ti 0.221 0.250 0.125
Be1 Be 0.000 0.000 0.000
Bi1 Bi 0.000 0.000 0.500
# VASP energy, eV/atom: -5.969
# Energy of formation from the pure elements, eV/f.u.: 1.1


# Ba6Y2Al4O15 | the Alexandria database | PBEsol | optimized geometry
data_Ba6Y2Al4O15
_chemical_formula_sum 'Ba12 Y4 Al8 O30'
_cell_length_a 7.832
_cell_length_b 5.888
_cell_length_c 18.292
_cell_angle_alpha 90.00
_cell_angle_beta 91.63
_cell_angle_gamma 90.00
_symmetry_space_group_name_H-M 'P 1 2/c 1'
_symmetry_Int_Tables_number 13
loop_
_symmetry_equiv_pos_as_xyz
'x,y,z'
'-x,-y,-z'
'-x,y,-z+1/2'
'x,-y,z+1/2'
loop_
_atom_site_label
_atom_site_type_symbol
_atom_site_fract_x
_atom_site_fract_y
_atom_site_fract_z
Ba1 Ba 0.000 0.177 0.250
Ba2 Ba 0.001 0.255 0.919
Ba3 Ba 0.471 0.248 0.910
Ba4 Ba 0.500 0.226 0.250
Y1 Y 0.253 0.249 0.090
Al1 Al 0.253 0.247 0.443
Al2 Al 0.278 0.268 0.732
O1 O 0.038 0.254 0.408
O2 O 0.191 0.175 0.814
O3 O 0.227 0.473 0.189
O4 O 0.255 0.047 0.666
O5 O 0.264 0.484 0.505
O6 O 0.265 0.003 0.998
O7 O 0.446 0.263 0.393
O8 O 0.500 0.292 0.750
# Uncorrected formation energy, eV/atom: -3.06
# VASP energy, eV/atom: -7.564


# KMn | the Alexandria database | PBEsol | optimized geometry
data_KMn
_chemical_formula_sum 'K1 Mn1'
_cell_length_a 3.279
_cell_length_b 3.279
_cell_length_c 5.590
_cell_angle_alpha 90.00
_cell_angle_beta 90.00
_cell_angle_gamma 90.00
_symmetry_space_group_name_H-M 'P 4/m m m'
_symmetry_Int_Tables_number 123
_symmetry_space_group_name_Hall '-P 4 2'
loop_
_atom_site_label
_atom_site_type_symbol
_atom_site_fract_x
_atom_site_fract_y
_atom_site_fract_z
K1 K 0.000 0.000 0.000
Mn1 Mn 0.500 0.500 0.500
# VASP energy, eV/atom: -4.088
# Energy of formation from the pure elements, eV/f.u.: 2.7


# LiCa7Ge3H3 | the Alexandria database | PBEsol | optimized geometry
data_LiCa7Ge3H3
_chemical_formula_sum 'Li4 Ca28 Ge12 H12'
_cell_length_a 9.748
_cell_length_b 13.590
_cell_length_c 8.648
_cell_angle_alpha 90.00
_cell_angle_beta 90.00
_cell_angle_gamma 90.00
_symmetry_space_group_name_H-M 'P n m a'
_symmetry_Int_Tables_number 62
loop_
_symmetry_equiv_pos_as_xyz
'x,y,z'
'-x,-y,-z'
'-x+1/2,-y,z+1/2'
'x+1/2,y,-z+1/2'
'x+1/2,-y+1/2,-z+1/2'
'-x+1/2,y+1/2,z+1/2'
'-x,y+1/2,-z'
'x,-y+1/2,z'
loop_
_atom_site_label
_atom_site_type_symbol
_atom_site_fract_x
_atom_site_fract_y
_atom_site_fract_z
Li1 Li 0.135 0.250 0.246
Ca1 Ca 0.090 0.109 0.946
Ca2 Ca 0.114 0.611 0.670
Ca3 Ca 0.116 0.750 0.304
Ca4 Ca 0.183 0.119 0.547
Ge1 Ge 0.107 0.750 0.925
Ge2 Ge 0.131 0.525 0.288
H1 H 0.023 0.250 0.459
H2 H 0.134 0.250 0.749
H3 H 0.248 0.250 0.041
# VASP energy, eV/atom: -3.586


# FeCu2Ir | the Alexandria database | PBEsol | optimized geometry
data_FeCu2Ir
_chemical_formula_sum 'Fe2 Cu4 Ir2'
_cell_length_a 3.685
_cell_length_b 3.685
_cell_length_c 7.161
_cell_angle_alpha 90.00
_cell_angle_beta 90.00
_cell_angle_gamma 90.00
_symmetry_space_group_name_H-M 'I -4 m 2'
_symmetry_Int_Tables_number 119
_symmetry_space_group_name_Hall 'I -4 -2'
loop_
_atom_site_label
_atom_site_type_symbol
_atom_site_fract_x
_atom_site_fract_y
_atom_site_fract_z
Fe1 Fe 0.000 0.000 0.000
Cu1 Cu 0.000 0.000 0.500
Cu2 Cu 0.000 0.500 0.250
Ir1 Ir 0.000 0.500 0.750
# VASP energy, eV/atom: -6.761
# Energy of formation from the pure elements, eV/f.u.: 0.4


# Ca3Tc | the Alexandria database | PBEsol | optimized geometry
data_Ca3Tc
_chemical_formula_sum 'Ca6 Tc2'
_cell_length_a 3.384
_cell_length_b 5.610
_cell_length_c 12.059
_cell_angle_alpha 90.00
_cell_angle_beta 90.00
_cell_angle_gamma 90.00
_symmetry_space_group_name_H-M 'I m m m'
_symmetry_Int_Tables_number 71
_symmetry_space_group_name_Hall '-I 2 2'
loop_
_atom_site_label
_atom_site_type_symbol
_atom_site_fract_x
_atom_site_fract_y
_atom_site_fract_z
Ca1 Ca 0.000 0.000 0.000
Ca2 Ca 0.000 0.500 0.189
Tc1 Tc 0.000 0.000 0.500
# VASP energy, eV/atom: -3.854
# Energy of formation from the pure elements, eV/f.u.: 2.3


# Li10GeP2O12 | the Alexandria database | PBEsol | optimized geometry
data_Li10GeP2O12
_chemical_formula_sum 'Li20 Ge2 P4 O24'
_cell_length_a 6.651
_cell_length_b 7.152
_cell_length_c 10.396
_cell_angle_alpha 90.40
_cell_angle_beta 90.60
_cell_angle_gamma 90.23
_symmetry_space_group_name_H-M 'P 1'
_symmetry_Int_Tables_number 1
loop_
_symmetry_equiv_pos_as_xyz
'x,y,z'
loop_
_atom_site_label
_atom_site_type_symbol
_atom_site_fract_x
_atom_site_fract_y
_atom_site_fract_z
Li1 Li 0.000 0.000 0.000
Li2 Li 0.002 0.021 0.502
Li3 Li 0.015 0.584 0.269
Li4 Li 0.059 0.986 0.751
Li5 Li 0.256 0.325 0.089
Li6 Li 0.276 0.696 0.774
Li7 Li 0.289 0.825 0.274
Li8 Li 0.305 0.282 0.590
Li9 Li 0.497 0.025 0.152
Li10 Li 0.511 0.970 0.660
Li11 Li 0.513 0.573 0.285
Li12 Li 0.517 0.411 0.901
Li13 Li 0.529 0.057 0.906
Li14 Li 0.564 0.602 0.579
Li15 Li 0.601 0.009 0.408
Li16 Li 0.742 0.682 0.086
Li17 Li 0.775 0.320 0.398
Li18 Li 0.984 0.405 0.905
Li19 Li 0.989 0.969 0.256
Li20 Li 0.994 0.513 0.644
Ge1 Ge 0.247 0.758 0.508
Ge2 Ge 0.759 0.272 0.136
P1 P 0.260 0.741 0.027
P2 P 0.261 0.259 0.341
P3 P 0.752 0.240 0.664
P4 P 0.761 0.734 0.831
O1 O 0.054 0.790 0.394
O2 O 0.070 0.766 0.113
O3 O 0.071 0.252 0.424
O4 O 0.238 0.958 0.612
O5 O 0.259 0.552 0.953
O6 O 0.260 0.088 0.246
O7 O 0.261 0.440 0.260
O8 O 0.261 0.904 0.928
O9 O 0.263 0.556 0.605
O10 O 0.447 0.759 0.119
O11 O 0.451 0.251 0.427
O12 O 0.475 0.763 0.421
O13 O 0.536 0.239 0.042
O14 O 0.556 0.226 0.747
O15 O 0.573 0.741 0.743
O16 O 0.740 0.084 0.249
O17 O 0.749 0.560 0.919
O18 O 0.750 0.416 0.579
O19 O 0.752 0.063 0.577
O20 O 0.760 0.483 0.227
O21 O 0.766 0.910 0.919
O22 O 0.949 0.249 0.745
O23 O 0.956 0.725 0.752
O24 O 0.981 0.248 0.049
# Uncorrected formation energy, eV/atom: -2.21
# VASP energy, eV/atom: -6.180


# InW2Se | the Alexandria database | PBEsol | optimized geometry
data_InW2Se
_chemical_formula_sum 'In1 W2 Se1'
_cell_length_a 4.577
_cell_length_b 4.577
_cell_length_c 3.145
_cell_angle_alpha 90.00
_cell_angle_beta 90.00
_cell_angle_gamma 90.00
_symmetry_space_group_name_H-M 'P 4/m m m'
_symmetry_Int_Tables_number 123
_symmetry_space_group_name_Hall '-P 4 2'
loop_
_atom_site_label
_atom_site_type_symbol
_atom_site_fract_x
_atom_site_fract_y
_atom_site_fract_z
In1 In 0.000 0.000 0.000
W1 W 0.000 0.500 0.500
Se1 Se 0.500 0.500 0.000
# Uncorrected formation energy, eV/atom: 0.78
# VASP energy, eV/atom: -7.828


For each record above, in turn, the calculated magnetic moment values are 0.000; 17.010; 0.001; 0.000; 0.000; 0.001; 4.364; 0.000; 3.429; 0.606; 0.000; 0.000 μB/f.u..